Version A
A plane-wave DFT calculation with SCAN was carried out for a PBEsol-optimized structure of Sb3O2F5.

Values from the calculation:
- N(E_F) (states/eV/f.u.) = 0.0
- magnetic moment (μB/atom) = 0.00
- ρ (g/cm3) = 5.6

a b c (Å): 5.2880 17.2118 6.4668
angles (deg): 90.00 90.00 90.00
Closest atoms and distances in Å follow each position.
Sites, in units of the cell vectors:
Sb1 0.1352 0.1035 0.0317  2 F 2.03-2.04, 1 O 2.06
Sb2 0.1352 0.3965 0.0317  2 F 2.03-2.04, 1 O 2.06
Sb3 0.2199 0.2500 0.4402  4 O 2.11-2.36, 1 F 2.30
Sb4 0.2801 0.7500 0.9402  4 O 2.11-2.36, 1 F 2.30
Sb5 0.3648 0.6035 0.5317  2 F 2.03-2.04, 1 O 2.06
Sb6 0.3648 0.8965 0.5317  2 F 2.03-2.04, 1 O 2.06
Sb7 0.6352 0.1035 0.4683  2 F 2.03-2.04, 1 O 2.06
Sb8 0.6352 0.3965 0.4683  2 F 2.03-2.04, 1 O 2.06
Sb9 0.7199 0.2500 0.0598  4 O 2.11-2.36, 1 F 2.30
Sb10 0.7801 0.7500 0.5598  4 O 2.11-2.36, 1 F 2.30
Sb11 0.8648 0.6035 0.9683  2 F 2.03-2.04, 1 O 2.06
Sb12 0.8648 0.8965 0.9683  2 F 2.03-2.04, 1 O 2.06
O1 0.0560 0.6738 0.7620  2 Sb 2.06-2.11
O2 0.0560 0.8262 0.7620  2 Sb 2.06-2.11
O3 0.4440 0.1738 0.2620  2 Sb 2.06-2.11
O4 0.4440 0.3262 0.2620  2 Sb 2.06-2.11
O5 0.5560 0.6738 0.7380  2 Sb 2.06-2.11
O6 0.5560 0.8262 0.7380  2 Sb 2.06-2.11
O7 0.9440 0.1738 0.2380  2 Sb 2.06-2.11
O8 0.9440 0.3262 0.2380  2 Sb 2.06-2.11
F1 0.0674 0.5228 0.8109  1 Sb 2.03
F2 0.0674 0.9772 0.8109  1 Sb 2.03
F3 0.1190 0.2500 0.9204  1 Sb 2.30
F4 0.1946 0.6213 0.1243  1 Sb 2.04
F5 0.1946 0.8787 0.1243  1 Sb 2.04
F6 0.3054 0.1213 0.6243  1 Sb 2.04
F7 0.3054 0.3787 0.6243  1 Sb 2.04
F8 0.3810 0.7500 0.4204  1 Sb 2.30
F9 0.4326 0.0228 0.3109  1 Sb 2.03
F10 0.4326 0.4772 0.3109  1 Sb 2.03
F11 0.5674 0.5228 0.6891  1 Sb 2.03
F12 0.5674 0.9772 0.6891  1 Sb 2.03
F13 0.6190 0.2500 0.5796  1 Sb 2.30
F14 0.6946 0.6213 0.3757  1 Sb 2.04
F15 0.6946 0.8787 0.3757  1 Sb 2.04
F16 0.8054 0.1213 0.8757  1 Sb 2.04
F17 0.8054 0.3787 0.8757  1 Sb 2.04
F18 0.8810 0.7500 0.0796  1 Sb 2.30
F19 0.9326 0.0228 0.1891  1 Sb 2.03
F20 0.9326 0.4772 0.1891  1 Sb 2.03

=====

Version B
A plane-wave DFT calculation with SCAN was carried out for a PBEsol-optimized structure of Sb3O2F5.

Values from the calculation:
- N(E_F) (states/eV/f.u.) = 0.0
- magnetic moment (μB/atom) = 0.00
- ρ (g/cm3) = 5.0

a b c (Å): 13.1571 5.8318 9.0367
angles (deg): 90.00 108.92 90.00
Closest atoms and distances in Å follow each position.
Sites, in units of the cell vectors:
Sb1 0.0000 0.0441 0.2500  4 F 1.97-2.12
Sb2 0.0000 0.9559 0.7500  4 F 1.97-2.12
Sb3 0.2069 0.4446 0.1145  2 F 1.98-2.03, 1 O 1.99
Sb4 0.2069 0.5554 0.6145  2 F 1.98-2.03, 1 O 1.99
Sb5 0.3598 0.0397 0.4136  1 F 2.00, 2 O 2.06-2.16
Sb6 0.3598 0.9603 0.9136  1 F 2.00, 2 O 2.06-2.16
Sb7 0.5000 0.3924 0.2500  4 O 2.03-2.18
Sb8 0.5000 0.6076 0.7500  4 O 2.03-2.18
Sb9 0.6402 0.0397 0.0864  1 F 2.00, 2 O 2.06-2.16
Sb10 0.6402 0.9603 0.5864  1 F 2.00, 2 O 2.06-2.16
Sb11 0.7931 0.4446 0.3855  2 F 1.98-2.03, 1 O 1.99
Sb12 0.7931 0.5554 0.8855  2 F 1.98-2.03, 1 O 1.99
O1 0.3388 0.2597 0.2133  3 Sb 1.99-2.18
O2 0.3388 0.7403 0.7133  3 Sb 1.99-2.18
O3 0.4926 0.1708 0.0734  3 Sb 2.03-2.24
O4 0.4926 0.8292 0.5734  3 Sb 2.03-2.24
O5 0.5074 0.1708 0.4266  3 Sb 2.03-2.24
O6 0.5074 0.8292 0.9266  3 Sb 2.03-2.24
O7 0.6612 0.2597 0.2867  3 Sb 1.99-2.18
O8 0.6612 0.7403 0.7867  3 Sb 1.99-2.18
F1 0.0455 0.2748 0.4174  1 Sb 1.97
F2 0.0455 0.7252 0.9174  1 Sb 1.97
F3 0.1499 0.1341 0.2252  2 Sb 2.12-2.31
F4 0.1499 0.8659 0.7252  2 Sb 2.12-2.31
F5 0.1512 0.2296 0.9373  1 Sb 1.98
F6 0.1512 0.7704 0.4373  1 Sb 1.98
F7 0.2938 0.4475 0.4792  1 Sb 2.03
F8 0.2938 0.5525 0.9792  1 Sb 2.03
F9 0.3554 0.2079 0.7590  1 Sb 2.00
F10 0.3554 0.7921 0.2590  1 Sb 2.00
F11 0.6446 0.2079 0.7410  1 Sb 2.00
F12 0.6446 0.7921 0.2410  1 Sb 2.00
F13 0.7062 0.4475 0.0208  1 Sb 2.03
F14 0.7062 0.5525 0.5208  1 Sb 2.03
F15 0.8488 0.2296 0.5627  1 Sb 1.98
F16 0.8488 0.7704 0.0627  1 Sb 1.98
F17 0.8501 0.1341 0.2748  2 Sb 2.12-2.31
F18 0.8501 0.8659 0.7748  2 Sb 2.12-2.31
F19 0.9545 0.2748 0.0826  1 Sb 1.97
F20 0.9545 0.7252 0.5826  1 Sb 1.97

=====

Least stable of them? version A.

=====

Version A
A plane-wave DFT calculation with SCAN was carried out for a PBEsol-optimized structure of SeO2F2.

Values from the calculation:
- N(E_F) (states/eV/f.u.) = 0.0
- magnetic moment (μB/atom) = 0.01
- ρ (g/cm3) = 2.9

a b c (Å): 5.6120 5.6120 10.9821
angles (deg): 90.00 90.00 90.00
Closest atoms and distances in Å follow each position.
Sites, in units of the cell vectors:
Se1 0.1254 0.1254 0.0000  2 O 1.60, 2 F 1.73
Se2 0.3746 0.6254 0.2500  2 O 1.60, 2 F 1.73
Se3 0.6254 0.3746 0.7500  2 O 1.60, 2 F 1.73
Se4 0.8746 0.8746 0.5000  2 O 1.60, 2 F 1.73
O1 0.0783 0.3519 0.9148  1 Se 1.60
O2 0.1481 0.5783 0.1648  1 Se 1.60
O3 0.3519 0.0783 0.0852  1 Se 1.60
O4 0.4217 0.8519 0.3352  1 Se 1.60
O5 0.5783 0.1481 0.8352  1 Se 1.60
O6 0.6481 0.9217 0.5852  1 Se 1.60
O7 0.8519 0.4217 0.6648  1 Se 1.60
O8 0.9217 0.6481 0.4148  1 Se 1.60
F1 0.0813 0.8737 0.9121  1 Se 1.73
F2 0.1263 0.9187 0.5879  1 Se 1.73
F3 0.3737 0.4187 0.6621  1 Se 1.73
F4 0.4187 0.3737 0.3379  1 Se 1.73
F5 0.5813 0.6263 0.8379  1 Se 1.73
F6 0.6263 0.5813 0.1621  1 Se 1.73
F7 0.8737 0.0813 0.0879  1 Se 1.73
F8 0.9187 0.1263 0.4121  1 Se 1.73

=====

Version B
A plane-wave DFT calculation with SCAN was carried out for a PBEsol-optimized structure of SeO2F2.

Values from the calculation:
- N(E_F) (states/eV/f.u.) = 0.9
- magnetic moment (μB/atom) = 0.40
- ρ (g/cm3) = 3.9

a b c (Å): 4.0932 4.0932 3.7378
angles (deg): 90.00 90.00 90.00
Closest atoms and distances in Å follow each position.
Sites, in units of the cell vectors:
Se1 0.0000 0.0000 0.0000  2 O 1.87, 4 F 2.05
O1 0.0000 0.0000 0.5000  2 Se 1.87
O2 0.5000 0.5000 0.5000  8 F 2.77, 4 O 2.89
F1 0.0000 0.5000 0.0000  2 Se 2.05
F2 0.5000 0.0000 0.0000  2 Se 2.05

=====

Least stable of them? version B.